Entry 1:
Density functional theory data (GGA-PBE) for an optimized crystal structure of KAlZn2Au4.

Cell lengths 4.454, 4.454, 10.389 Å; angles 77.62, 77.62, 60.00 degrees
Positions (direct):
K: 0.000 0.000 0.000
Al: 0.500 0.500 0.500
Zn: 0.758 0.758 0.725
Zn: 0.242 0.242 0.275
Au: 0.414 0.414 0.759
Au: 0.860 0.860 0.419
Au: 0.140 0.140 0.581
Au: 0.586 0.586 0.241

Summary:
Energy relative to the elements, eV per formula unit: -1.97
SG: R-3m (166)
Calculated total energy, eV/atom: -2.808
Size of the total moment, μB/atom: 0.000


Entry 2:
Density functional theory data (GGA-PBE) for an optimized crystal structure of Hf8C3N4O.

Cell lengths 6.494, 6.476, 6.494 Å; angles 120.09, 120.00, 90.00 degrees
Positions (direct):
Hf: 0.256 0.752 0.995
Hf: 0.256 0.752 0.513
Hf: 0.251 0.253 0.502
Hf: 0.739 0.752 0.995
Hf: 0.261 0.248 0.005
Hf: 0.749 0.747 0.498
Hf: 0.744 0.248 0.487
Hf: 0.744 0.248 0.005
C: 0.500 0.500 0.000
C: 0.500 0.500 0.500
C: 0.000 0.500 0.500
N: 0.500 0.000 0.000
N: 0.500 0.000 0.500
N: 0.000 0.000 0.000
N: 0.000 0.000 0.500
O: 0.000 0.500 0.000

Summary:
SG: R-3m (166)
Calculated total energy, eV/atom: -10.682
Size of the total moment, μB/atom: 0.000
Formation energy without anion corrections, eV per atom: -1.58


Entry 3:
Density functional theory data (GGA-PBE) for an optimized crystal structure of Rb3TlAg.

Cell lengths 6.452, 6.471, 12.734 Å; angles 90.00, 90.00, 119.90 degrees
Positions (direct):
Rb: 0.842 0.332 0.583
Rb: 0.842 0.332 0.917
Rb: 0.510 0.667 0.750
Rb: 0.510 0.668 0.083
Rb: 0.510 0.668 0.417
Rb: 0.843 0.333 0.250
Tl: 0.177 0.001 0.750
Tl: 0.176 0.999 0.250
Ag: 0.176 0.000 0.500
Ag: 0.176 0.000 0.000

Summary:
Energy relative to the elements, eV per formula unit: 0.27
SG: Cmcm (63)
Calculated total energy, eV/atom: -1.571
Offset from the most stable computed form, kJ/mol of formula units: 0
Size of the total moment, μB/atom: 0.000


Entry 4:
Density functional theory data (GGA-PBE) for an optimized crystal structure of MgCoRe.

Cell lengths 7.520, 4.770, 2.681 Å; angles 102.85, 88.80, 115.23 degrees
Positions (direct):
Re: 0.561 0.983 0.216
Re: 0.193 0.687 0.454
Mg: 0.779 0.658 0.486
Mg: 0.393 0.354 0.792
Co: 0.082 0.039 0.143
Co: 0.897 0.277 0.809

Summary:
Energy relative to the elements, eV per formula unit: 0.71
SG: P1 (1)
Calculated total energy, eV/atom: -6.813
Offset from the most stable computed form, kJ/mol of formula units: 50
Size of the total moment, μB/atom: 0.000


Entry 5:
Density functional theory data (GGA-PBE) for an optimized crystal structure of CeGa6Ni4.

Cell lengths 3.969, 6.967, 6.967 Å; angles 120.00, 90.00, 90.00 degrees
Positions (direct):
Ce: 0.000 0.000 0.000
Ga: 0.000 0.534 0.068
Ga: 0.500 0.604 0.802
Ga: 0.000 0.534 0.466
Ga: 0.000 0.932 0.466
Ga: 0.500 0.198 0.802
Ga: 0.500 0.198 0.396
Ni: 0.500 0.791 0.582
Ni: 0.500 0.418 0.209
Ni: 0.500 0.791 0.209
Ni: 0.000 0.333 0.667

Summary:
Energy relative to the elements, eV per formula unit: -5.06
SG: P-6m2 (187)
Calculated total energy, eV/atom: -4.753
Size of the total moment, μB/atom: 0.048


Entry 6:
Density functional theory data (GGA-PBE) for an optimized crystal structure of TcSe.

Cell lengths 5.572, 4.652, 10.762 Å; angles 90.00, 90.00, 90.00 degrees
Positions (direct):
Tc: 0.684 0.160 0.975
Tc: 0.184 0.340 0.025
Tc: 0.316 0.660 0.525
Tc: 0.816 0.840 0.475
Tc: 0.354 0.016 0.775
Tc: 0.854 0.484 0.225
Tc: 0.646 0.516 0.725
Tc: 0.146 0.984 0.275
Se: 0.315 0.862 0.988
Se: 0.815 0.638 0.012
Se: 0.685 0.362 0.512
Se: 0.185 0.138 0.488
Se: 0.189 0.522 0.736
Se: 0.689 0.978 0.264
Se: 0.811 0.022 0.764
Se: 0.311 0.478 0.236

Summary:
SG: P2_12_12_1 (19)
Calculated total energy, eV/atom: -6.832
Offset from the most stable computed form, kJ/mol of formula units: 58
Size of the total moment, μB/atom: 0.000
Formation energy without anion corrections, eV per atom: 0.09


Entry 7:
Density functional theory data (GGA-PBE) for an optimized crystal structure of ScGa3C.

Cell lengths 5.288, 5.288, 5.288 Å; angles 90.00, 90.00, 90.00 degrees
Positions (direct):
Sc: 0.000 0.000 0.000
C: 0.500 0.500 0.500
Ga: 0.000 0.500 0.000
Ga: 0.000 0.000 0.500
Ga: 0.500 0.000 0.000

Summary:
Energy relative to the elements, eV per formula unit: 9.12
SG: Pm-3m (221)
Calculated total energy, eV/atom: -3.103
Offset from the most stable computed form, kJ/mol of formula units: 621
Size of the total moment, μB/atom: 0.011


Entry 8:
Density functional theory data (GGA-PBE) for an optimized crystal structure of La2Tb6Er3.

Cell lengths 6.120, 6.123, 11.826 Å; angles 85.00, 79.95, 60.02 degrees
Positions (direct):
La: 0.167 0.665 0.500
La: 0.833 0.335 0.500
Tb: 0.415 0.667 0.757
Tb: 0.748 0.000 0.756
Tb: 0.081 0.333 0.757
Tb: 0.252 0.000 0.244
Tb: 0.585 0.333 0.243
Tb: 0.919 0.667 0.243
Er: 0.000 0.000 0.000
Er: 0.335 0.331 0.000
Er: 0.665 0.669 0.000

Summary:
Energy relative to the elements, eV per formula unit: 1.96
SG: C2/m (12)
Calculated total energy, eV/atom: -4.488
Offset from the most stable computed form, kJ/mol of formula units: 0
Size of the total moment, μB/atom: 0.000